[1]
{
  "formula": "Na2ZrTaSi",
  "functional": "GGA-PBE",
  "state": "relaxed",
  "raw_formation_energy_ev_per_fu": 9.01,
  "magmom_total_mub_per_fu": 0.00,
  "energy_ev_per_atom": -3.89,
  "spacegroup": "P4/mmm, No. 123",
  "cell": [[5.487, 0.000, 0.000], [0.000, 5.487, 0.000], [0.000, 0.000, 4.912]],
  "species": ["Na", "Na", "Zr", "Ta", "Si"],
  "fractional_positions": [[0.000, 0.500, 0.000], [0.500, 0.000, 0.000], [0.000, 0.000, 0.000], [0.000, 0.000, 0.500], [0.500, 0.500, 0.500]]
}

***

[2]
{
  "formula": "Rb2NaH",
  "functional": "GGA-PBE",
  "state": "relaxed",
  "magmom_total_mub_per_fu": 0.00,
  "energy_ev_per_atom": -1.66,
  "spacegroup": "R3m, No. 160",
  "e_above_lowest_polymorph_ev_per_fu": 0.00,
  "cell": [[2.145, 1.239, 10.776], [-2.145, 1.239, 10.776], [0.000, -2.477, 10.776]],
  "species": ["Rb", "Rb", "Na", "H"],
  "fractional_positions": [[0.000, 0.000, 0.000], [0.224, 0.224, 0.224], [0.445, 0.445, 0.445], [0.612, 0.612, 0.612]]
}

***

[3]
{
  "formula": "Co2P2N",
  "functional": "GGA-PBE",
  "state": "relaxed",
  "raw_formation_energy_ev_per_fu": -0.33,
  "magmom_total_mub_per_fu": 0.00,
  "energy_ev_per_atom": -6.74,
  "spacegroup": "P1, No. 1",
  "e_above_lowest_polymorph_ev_per_fu": 0.99,
  "cell": [[2.638, 0.000, 0.000], [1.317, 3.947, 0.000], [1.304, 1.200, 5.589]],
  "species": ["Co", "Co", "P", "P", "N"],
  "fractional_positions": [[0.000, 0.000, 0.000], [0.486, 0.415, 0.609], [0.386, 0.879, 0.343], [0.768, 0.606, 0.858], [0.746, 0.134, 0.368]]
}

***

[4]
{
  "formula": "ZrPO2F",
  "functional": "GGA-PBE",
  "state": "relaxed",
  "raw_formation_energy_ev_per_fu": -1.56,
  "magmom_total_mub_per_fu": 1.11,
  "energy_ev_per_atom": -5.46,
  "spacegroup": "P4/mmm, No. 123",
  "cell": [[4.110, 0.000, 0.000], [0.000, 4.110, 0.000], [0.000, 0.000, 3.576]],
  "species": ["Zr", "P", "O", "O", "F"],
  "fractional_positions": [[0.000, 0.000, 0.000], [0.500, 0.500, 0.000], [0.000, 0.500, 0.500], [0.500, 0.000, 0.500], [0.500, 0.500, 0.500]]
}

***

[5]
{
  "formula": "BaLiPuP2",
  "functional": "GGA-PBE",
  "state": "relaxed",
  "magmom_total_mub_per_fu": 5.00,
  "energy_ev_per_atom": -6.60,
  "spacegroup": "I-4m2, No. 119",
  "e_form_mev_per_atom": -803.7,
  "cell": [[-2.209, 2.209, 6.704], [2.209, -2.209, 6.704], [2.209, 2.209, -6.704]],
  "species": ["Ba", "Li", "Pu", "P", "P"],
  "fractional_positions": [[0.000, 0.000, 0.000], [0.250, 0.750, 0.500], [0.750, 0.250, 0.500], [0.365, 0.365, 0.000], [0.635, 0.635, 0.000]]
}

***

[6]
{
  "formula": "CsHg4Bi",
  "functional": "GGA-PBE",
  "state": "relaxed",
  "magmom_total_mub_per_fu": 0.00,
  "energy_ev_per_atom": -1.04,
  "spacegroup": "F-43m, No. 216",
  "e_form_mev_per_atom": -46.0,
  "e_above_lowest_polymorph_ev_per_fu": 0.60,
  "cell": [[0.000, 4.591, 4.591], [4.591, 0.000, 4.591], [4.591, 4.591, 0.000]],
  "species": ["Cs", "Hg", "Hg", "Hg", "Hg", "Bi"],
  "fractional_positions": [[0.000, 0.000, 0.000], [0.376, 0.376, 0.376], [0.376, 0.376, 0.872], [0.376, 0.872, 0.376], [0.872, 0.376, 0.376], [0.750, 0.750, 0.750]]
}

***

[7]
{
  "formula": "Pu2Pa2Si4Rh",
  "functional": "GGA-PBE",
  "state": "relaxed",
  "raw_formation_energy_ev_per_fu": -2.23,
  "magmom_total_mub_per_fu": 12.51,
  "energy_ev_per_atom": -8.77,
  "spacegroup": "I4/mmm, No. 139",
  "cell": [[-3.390, 3.390, 4.088], [3.390, -3.390, 4.088], [3.390, 3.390, -4.088]],
  "species": ["Pu", "Pu", "Pa", "Pa", "Si", "Si", "Si", "Si", "Rh"],
  "fractional_positions": [[0.175, 0.175, 0.000], [0.825, 0.825, 0.000], [0.250, 0.750, 0.500], [0.750, 0.250, 0.500], [0.255, 0.255, 0.510], [0.255, 0.745, 0.000], [0.745, 0.255, 0.000], [0.745, 0.745, 0.490], [0.500, 0.500, 0.000]]
}

***

[8]
{
  "formula": "TaAgP2",
  "functional": "GGA-PBE",
  "state": "relaxed",
  "magmom_total_mub_per_fu": 0.00,
  "energy_ev_per_atom": -6.46,
  "spacegroup": "Imm2, No. 44",
  "e_form_mev_per_atom": -82.8,
  "e_above_lowest_polymorph_ev_per_fu": 0.24,
  "cell": [[-1.663, 1.800, 5.792], [1.663, -1.800, 5.792], [1.663, 1.800, -5.792]],
  "species": ["Ta", "Ag", "P", "P"],
  "fractional_positions": [[0.000, 0.000, 0.000], [0.256, 0.756, 0.500], [0.572, 0.572, 0.000], [0.841, 0.341, 0.500]]
}

***

[9]
{
  "formula": "MgScHg",
  "functional": "GGA-PBE",
  "state": "relaxed",
  "magmom_total_mub_per_fu": 0.52,
  "energy_ev_per_atom": -2.97,
  "spacegroup": "I4mm, No. 107",
  "e_form_mev_per_atom": -225.9,
  "cell": [[-1.618, 1.618, 6.344], [1.618, -1.618, 6.344], [1.618, 1.618, -6.344]],
  "species": ["Mg", "Sc", "Hg"],
  "fractional_positions": [[0.000, 0.000, 0.000], [0.318, 0.318, 0.000], [0.660, 0.660, 0.000]]
}

***

[10]
{
  "formula": "Zn4CoNi15",
  "functional": "GGA-PBE",
  "state": "relaxed",
  "magmom_total_mub_per_fu": 8.51,
  "energy_ev_per_atom": -5.03,
  "spacegroup": "P4/mmm, No. 123",
  "e_form_mev_per_atom": -88.0,
  "cell": [[3.563, 0.000, 0.000], [0.000, 3.563, 0.000], [0.000, 0.000, 17.863]],
  "species": ["Zn", "Zn", "Zn", "Zn", "Co", "Ni", "Ni", "Ni", "Ni", "Ni", "Ni", "Ni", "Ni", "Ni", "Ni", "Ni", "Ni", "Ni", "Ni", "Ni"],
  "fractional_positions": [[0.000, 0.000, 0.101], [0.000, 0.000, 0.302], [0.000, 0.000, 0.698], [0.000, 0.000, 0.899], [0.000, 0.000, 0.500], [0.000, 0.500, 0.000], [0.000, 0.500, 0.201], [0.000, 0.500, 0.404], [0.000, 0.500, 0.596], [0.000, 0.500, 0.799], [0.500, 0.000, 0.000], [0.500, 0.000, 0.201], [0.500, 0.000, 0.404], [0.500, 0.000, 0.596], [0.500, 0.000, 0.799], [0.500, 0.500, 0.101], [0.500, 0.500, 0.303], [0.500, 0.500, 0.500], [0.500, 0.500, 0.697], [0.500, 0.500, 0.899]]
}

***

[11]
{
  "formula": "TbCePr2Dy5",
  "functional": "GGA-PBE",
  "state": "relaxed",
  "magmom_total_mub_per_fu": 0.95,
  "energy_ev_per_atom": -4.52,
  "spacegroup": "I4/mcm, No. 140",
  "e_form_mev_per_atom": 268.3,
  "cell": [[-4.303, 4.303, 7.881], [4.303, -4.303, 7.881], [4.303, 4.303, -7.881]],
  "species": ["Tb", "Tb", "Ce", "Ce", "Pr", "Pr", "Pr", "Pr", "Dy", "Dy", "Dy", "Dy", "Dy", "Dy", "Dy", "Dy", "Dy", "Dy"],
  "fractional_positions": [[0.250, 0.250, 0.000], [0.750, 0.750, 0.000], [0.250, 0.750, 0.500], [0.750, 0.250, 0.500], [0.121, 0.621, 0.743], [0.379, 0.121, 0.500], [0.621, 0.879, 0.500], [0.879, 0.379, 0.257], [0.000, 0.000, 0.000], [0.063, 0.153, 0.500], [0.153, 0.653, 0.091], [0.347, 0.437, 0.500], [0.437, 0.937, 0.091], [0.500, 0.500, 0.000], [0.563, 0.063, 0.909], [0.653, 0.563, 0.500], [0.847, 0.347, 0.909], [0.937, 0.847, 0.500]]
}

***

[12]
{
  "formula": "Ca2SnS",
  "functional": "GGA-PBE",
  "state": "relaxed",
  "raw_formation_energy_ev_per_fu": -3.73,
  "magmom_total_mub_per_fu": 0.00,
  "energy_ev_per_atom": -3.97,
  "spacegroup": "I-42d, No. 122",
  "e_above_lowest_polymorph_ev_per_fu": 1.49,
  "cell": [[-3.940, 3.940, 3.886], [3.940, -3.940, 3.886], [3.940, 3.940, -3.886]],
  "species": ["Ca", "Ca", "Ca", "Ca", "Sn", "Sn", "S", "S"],
  "fractional_positions": [[0.074, 0.625, 0.949], [0.375, 0.324, 0.449], [0.676, 0.125, 0.051], [0.875, 0.926, 0.551], [0.250, 0.750, 0.500], [0.500, 0.500, 0.000], [0.000, 0.000, 0.000], [0.750, 0.250, 0.500]]
}